No. 1
DFT (PBE-GGA) results for an optimized crystal structure of NdCu11.

It has space group I4_1/amd (No. 141, origin choice 2), with a = 10.0572 Å, b = 10.0572 Å, c = 6.5890 Å, α = 90.00°, β = 90.00° and γ = 90.00°. The asymmetric unit holds Nd at (0.0000, 0.2500, 0.3750), Cu at (0.0000, 0.0000, 0.0000), Cu at (0.0000, 0.2500, 0.8750) and Cu at (0.1233, 0.0433, 0.6833).

The calculation puts the density at 8.4 g cm⁻³. The value obtained for the formation energy is -0.080 eV/atom.

***

No. 2
DFT (PBE-GGA) results for an optimized crystal structure of Pm8Pb3N2.

It has space group R-3m (No. 166, hexagonal axes), with a = 7.0534 Å, b = 7.0534 Å, c = 27.4784 Å, α = 90.00°, β = 90.00° and γ = 120.00°. The asymmetric unit holds Pm at (0.0000, 0.0000, 0.1823), Pm at (0.0027, 0.5013, 0.7297), Pb at (0.0000, 0.0000, 0.2981), Pb at (0.0000, 0.0000, 0.5000) and N at (0.0000, 0.0000, 0.1016).

The uncorrected formation energy comes out at -620 meV per atom. The calculation puts the density at 7.6 g cm⁻³.

***

No. 3
DFT (PBE-GGA) results for an optimized crystal structure of Pm5SnSb4.

It has space group Immm (No. 71), with a = 4.4648 Å, b = 6.3578 Å, c = 22.5740 Å, α = 90.00°, β = 90.00° and γ = 90.00°. The asymmetric unit holds Pm at (0.0000, 0.0000, 0.0000), Pm at (0.0000, 0.0000, 0.1993), Pm at (0.0000, 0.0000, 0.3980), Sn at (0.0000, 0.5000, 0.0000), Sb at (0.0000, 0.5000, 0.2001) and Sb at (0.0000, 0.5000, 0.3999).

The uncorrected formation energy comes out at -1060 meV per atom. As for the relative energy among the computed polymorphs: 0.00 eV/f.u. The calculation puts the density at 6.9 g cm⁻³.

***

No. 4
DFT (PBE-GGA) results for an optimized crystal structure of RbMgB2H8.

It has space group R-3 (No. 148, hexagonal axes), with a = 4.8149 Å, b = 4.8149 Å, c = 21.6380 Å, α = 90.00°, β = 90.00° and γ = 120.00°. The asymmetric unit holds Rb at (0.0000, 0.0000, 0.0000), Mg at (0.0000, 0.0000, 0.5000), B at (0.0000, 0.0000, 0.2418), H at (0.0000, 0.0000, 0.2986) and H at (0.0577, 0.7920, 0.7774).

The calculation puts the total energy at -3.7165 eV/atom. The calculation puts the density at 1.6 g cm⁻³.

***

- density of number 1 (NdCu11)?
  8.4 g cm⁻³